A plane-wave DFT calculation with PBE was carried out for a relaxed CdCoIN2 crystal.

The polymorph energy (0 for the lowest one) is 0 meV/atom. Its total energy is -20.17 eV per cell.

The space group is P4/mmm (No. 123) and the conventional cell measures 3.802, 3.802 and 6.827 Å, with angles of 90.00, 90.00 and 90.00 degrees. Symmetry generates all atoms from Cd at (0.000, 0.000, 0.000), Co at (0.500, 0.500, 0.500), I at (0.500, 0.500, 0.000) and N at (0.000, 0.500, 0.500).